Record 1
First-principles (PBE) data for an optimized crystal structure of Hf2TiTlN, as listed in Alexandria via LeMat-Bulk.

Values from the calculation:
Space-group type: No. 123
Theoretical density (g cm⁻³): 12.203
Raw formation energy (eV/atom): -0.6721
M_tot (μB/atom): 0.000

Cell lengths 4.539, 4.539, 4.116 Å; angles 90.00, 90.00, 90.00 degrees
Positions (direct):
Hf (0.000, 0.500, 0.000)
Hf (0.500, 0.000, 0.000)
Tl (0.500, 0.500, 0.500)
Ti (0.000, 0.000, 0.500)
N (0.000, 0.000, 0.000)

Record 2
First-principles (PBE) data for an optimized crystal structure of Pm4In3Ru, as listed in Alexandria via LeMat-Bulk.

Values from the calculation:
Space-group type: No. 123
Theoretical density (g cm⁻³): 7.959
Energy relative to the elements (meV/atom): -413
M_tot (μB/atom): 0.000
E above lowest polymorph (eV per formula unit): 0.00

Cell lengths 3.604, 3.604, 16.467 Å; angles 90.00, 90.00, 90.00 degrees
Positions (direct):
Pm (0.000, 0.000, 0.368)
Pm (0.000, 0.000, 0.632)
Pm (0.000, 0.000, 0.102)
Pm (0.000, 0.000, 0.898)
In (0.500, 0.500, 0.239)
In (0.500, 0.500, 0.500)
In (0.500, 0.500, 0.761)
Ru (0.500, 0.500, 0.000)

Record 3
First-principles (PBE) data for an optimized crystal structure of NaCe4Pm3Te8, as listed in Alexandria via LeMat-Bulk.

Values from the calculation:
Space-group type: No. 166
Theoretical density (g cm⁻³): 6.608
Raw formation energy (eV/atom): -1.3654
M_tot (μB/atom): 0.328

Cell lengths 8.957, 9.009, 8.957 Å; angles 119.82, 120.00, 90.00 degrees
Positions (direct):
Te (0.753, 0.254, 0.505)
Te (0.751, 0.746, 0.998)
Te (0.249, 0.254, 0.002)
Te (0.251, 0.252, 0.501)
Te (0.749, 0.748, 0.499)
Te (0.752, 0.254, 0.002)
Te (0.248, 0.746, 0.998)
Te (0.247, 0.746, 0.495)
Ce (0.500, 0.000, 0.000)
Ce (0.000, 0.000, 0.000)
Ce (0.500, 0.000, 0.500)
Ce (0.000, 0.000, 0.500)
Pm (0.500, 0.500, 0.500)
Pm (0.000, 0.500, 0.500)
Pm (0.500, 0.500, 0.000)
Na (0.000, 0.500, 0.000)

The highest M_tot belongs to which entry?
NaCe4Pm3Te8